# GGA+U Sm2CoPtO6, relaxed
data_Sm2CoPtO6
_chemical_formula_sum 'Sm4 Co2 Pt2 O12'
_cell_length_a 5.358
_cell_length_b 5.796
_cell_length_c 9.378
_cell_angle_alpha 90.00
_cell_angle_beta 124.83
_cell_angle_gamma 90.00
_space_group_name_H-M_alt 'P 1 21/c 1'
_space_group_IT_number 14
loop_
_space_group_symop_operation_xyz
'x,y,z'
'-x,-y,-z'
'-x,y+1/2,-z+1/2'
'x,-y+1/2,z+1/2'
loop_
_atom_site_label
_atom_site_fract_x
_atom_site_fract_y
_atom_site_fract_z
_atom_site_occupancy
Sm1 0.227 0.074 0.250 1
Co1 0.500 0.000 0.000 1
Pt1 0.000 0.000 0.500 1
O1 0.129 0.199 0.944 1
O2 0.258 0.693 0.946 1
O3 0.363 0.038 0.751 1
# VASP energy = -7.165 eV per atom